(1)
! PBE Er2PuSe4, relaxed; values from VASP
&SYSTEM
  ibrav = 0, nat = 14, ntyp = 3
/
ATOMIC_SPECIES
Er 167.26 Er.upf
Pu 244.00 Pu.upf
Se 78.96 Se.upf
ATOMIC_POSITIONS angstrom
Er -2.828 -4.249 3.179
Er -1.186 -0.563 3.834
Er -1.619 3.444 4.515
Er -3.568 -1.905 -0.087
Pu -4.161 1.501 2.028
Pu 0.000 0.000 0.000
Se -0.418 1.018 6.081
Se -3.543 1.036 5.043
Se -3.945 -1.370 2.689
Se -0.988 -2.295 1.575
Se -1.231 1.840 2.188
Se -5.944 0.128 -0.122
Se 1.274 -2.143 4.945
Se -3.607 -4.762 0.483
CELL_PARAMETERS angstrom
-3.413 6.302 2.283
-5.216 -4.964 -2.175
4.028 -2.975 5.613
! - SG = I-42d (122)
! - energy above the most stable polymorph in this dataset (meV per atom) = 34
! - formation energy without anion corrections (meV/atom) = -1704


(2)
! PBE TaV2Mo6, relaxed; values from VASP
&SYSTEM
  ibrav = 0, nat = 9, ntyp = 3
/
ATOMIC_SPECIES
Ta 180.95 Ta.upf
V 50.94 V.upf
Mo 95.94 Mo.upf
ATOMIC_POSITIONS angstrom
Ta 2.803 1.618 0.044
V 8.410 4.855 4.585
V 5.606 3.237 1.297
Mo 7.180 2.694 3.953
Mo 5.289 4.871 3.953
Mo 4.350 2.145 3.953
Mo 3.091 3.344 2.041
Mo 6.771 1.005 2.041
Mo 6.957 5.362 2.041
CELL_PARAMETERS angstrom
5.606 0.000 0.000
2.803 4.855 0.000
2.803 1.618 5.973
! - energy of formation from the pure elements (meV per atom) = 816
! - SG = R3 (146)
! - energy above the most stable polymorph in this dataset (meV per atom) = 913


(3)
! PBE MnNi2As, relaxed; values from VASP
&SYSTEM
  ibrav = 0, nat = 4, ntyp = 3
/
ATOMIC_SPECIES
As 74.92 As.upf
Mn 54.94 Mn.upf
Ni 58.69 Ni.upf
ATOMIC_POSITIONS angstrom
As 0.305 -1.975 1.474
Mn 2.498 -2.529 3.711
Ni 0.307 -0.144 -0.002
Ni 1.886 -0.410 2.240
CELL_PARAMETERS angstrom
-1.583 -3.396 0.711
2.518 -1.210 -0.172
1.867 0.102 4.647
! - energy of formation from the pure elements (meV per atom) = -57
! - SG = P2/m (10)


(4)
! PBE U3Zn5S12, relaxed; values from VASP
&SYSTEM
  ibrav = 0, nat = 80, ntyp = 3
/
ATOMIC_SPECIES
U 238.03 U.upf
Zn 65.41 Zn.upf
S 32.06 S.upf
ATOMIC_POSITIONS angstrom
U -1.079 3.567 7.685
U 0.119 1.034 11.289
U 7.559 -0.395 3.956
U 2.762 3.106 0.302
U -1.856 7.769 6.077
U 3.418 -1.349 5.626
U 5.463 6.086 2.462
U 10.737 -3.031 2.010
U 6.120 1.631 7.786
U 1.322 5.132 4.131
U 8.762 3.703 -3.201
U 9.960 1.170 0.403
Zn 3.539 -1.095 1.909
Zn 2.517 -4.812 3.491
Zn 0.000 0.000 0.000
Zn 0.360 1.542 3.855
Zn 1.924 7.181 0.552
Zn -0.241 -0.507 7.434
Zn 6.597 -3.985 3.680
Zn 4.686 10.288 0.854
Zn 2.520 2.599 7.735
Zn 5.583 6.340 -1.255
Zn 3.298 -1.602 9.343
Zn 4.441 2.369 4.044
Zn -2.758 4.305 3.942
Zn 4.682 2.876 -3.390
Zn 6.361 2.138 0.352
Zn 4.196 -5.550 7.233
Zn 7.198 -1.936 0.101
Zn 2.284 8.723 4.407
Zn 8.521 3.196 4.232
Zn 5.342 5.832 6.178
S -2.931 5.185 6.269
S 4.809 -0.043 3.526
S -0.769 6.299 8.246
S -0.695 3.299 4.918
S 6.691 2.065 5.074
S -0.685 3.627 10.462
S 5.995 -2.387 5.235
S 5.298 -7.281 6.173
S 7.925 -0.289 6.736
S 0.664 1.515 8.579
S 1.481 4.463 6.851
S 0.438 -1.465 12.594
S 7.972 -2.695 2.347
S 0.868 -0.255 5.214
S 7.589 -5.876 4.561
S 3.872 5.678 0.148
S 2.428 0.326 0.466
S 1.684 -2.060 7.756
S 2.685 -0.043 10.933
S 2.172 -2.351 3.283
S 10.101 -1.522 4.327
S 3.764 1.370 6.226
S 4.173 3.049 9.285
S 5.834 8.860 2.259
S 5.117 3.367 1.861
S 4.709 1.688 -1.198
S 3.047 -4.122 5.828
S 6.196 4.781 -2.845
S -1.220 6.260 3.760
S 6.709 7.089 4.805
S 7.198 6.797 0.332
S 5.009 -0.941 7.940
S 6.453 4.412 7.621
S 1.292 10.613 3.526
S 0.909 7.432 5.740
S 8.443 6.202 -4.506
S 8.014 4.993 2.873
S 0.956 5.026 1.352
S 8.217 3.223 -0.491
S 7.400 0.275 1.236
S 3.583 12.018 1.914
S 2.886 7.125 2.852
S 9.576 1.438 3.169
S 9.566 1.111 -2.374
S 2.190 2.673 3.014
S 9.650 -1.561 -0.159
S 4.072 4.780 4.562
S 11.812 -0.447 1.818
CELL_PARAMETERS angstrom
-5.515 8.610 7.885
5.033 -9.625 6.983
9.363 5.752 -6.780
! - SG = Ia-3d (230)
! - formation energy without anion corrections (meV/atom) = -891


(5)
! PBE Y3Zn3Ni, relaxed; values from VASP
&SYSTEM
  ibrav = 0, nat = 14, ntyp = 3
/
ATOMIC_SPECIES
Y 88.91 Y.upf
Zn 65.41 Zn.upf
Ni 58.69 Ni.upf
ATOMIC_POSITIONS angstrom
Y 2.407 2.076 9.587
Y 2.890 3.678 6.382
Y 1.346 1.357 3.851
Y 3.952 4.396 12.118
Y 1.734 2.045 14.059
Y 3.564 3.709 1.910
Zn 4.436 4.527 8.900
Zn 0.861 1.226 7.069
Zn 1.707 5.045 14.236
Zn 3.590 0.709 1.733
Zn 5.107 4.441 4.445
Zn 0.190 1.312 11.524
Ni 2.945 0.449 6.014
Ni 2.352 5.304 9.955
CELL_PARAMETERS angstrom
3.766 0.000 0.567
1.834 5.403 0.608
-0.303 0.351 14.794
! - energy of formation from the pure elements (meV per atom) = -361
! - SG = C2/m (12)


(6)
! PBE SbTePt2, relaxed; values from VASP
&SYSTEM
  ibrav = 0, nat = 8, ntyp = 3
/
ATOMIC_SPECIES
Sb 121.76 Sb.upf
Te 127.60 Te.upf
Pt 195.08 Pt.upf
ATOMIC_POSITIONS angstrom
Sb 0.691 -3.004 2.826
Sb 2.487 -1.969 6.582
Te 0.000 0.000 0.000
Te -1.565 -3.001 6.476
Pt -1.625 -2.512 3.920
Pt 2.432 -1.475 4.022
Pt 0.170 -1.473 7.671
Pt 0.868 -4.480 10.502
CELL_PARAMETERS angstrom
-3.361 -4.036 2.720
4.743 -1.973 2.933
-0.459 1.039 7.405
! - SG = I-42d (122)
! - formation energy without anion corrections (meV/atom) = -142


(7)
! PBE LiSmBN2, relaxed; values from VASP
&SYSTEM
  ibrav = 0, nat = 10, ntyp = 4
/
ATOMIC_SPECIES
Li 6.94 Li.upf
Sm 150.36 Sm.upf
B 10.81 B.upf
N 14.01 N.upf
ATOMIC_POSITIONS angstrom
Li -0.751 2.135 0.570
Li -2.140 3.236 2.994
Sm -4.123 1.619 1.742
Sm -2.799 2.300 -1.404
B 0.000 0.000 0.000
B -1.383 0.956 2.482
N -5.954 3.385 1.151
N -2.420 3.408 0.892
N -4.502 0.511 -0.554
N -0.967 0.534 -0.813
CELL_PARAMETERS angstrom
-0.125 3.459 -1.401
-4.030 -1.452 -3.226
-2.766 1.911 4.965
! - SG = P2/c (13)
! - formation energy without anion corrections (meV/atom) = -903


(8)
! PBE MgCdFe2Cu, relaxed; values from VASP
&SYSTEM
  ibrav = 0, nat = 5, ntyp = 4
/
ATOMIC_SPECIES
Mg 24.30 Mg.upf
Fe 55.84 Fe.upf
Cu 63.55 Cu.upf
Cd 112.41 Cd.upf
ATOMIC_POSITIONS angstrom
Mg 0.000 0.000 0.000
Fe 0.000 0.000 2.272
Fe 2.272 0.000 0.000
Cu 0.000 2.253 0.000
Cd 2.272 2.253 2.272
CELL_PARAMETERS angstrom
4.544 0.000 0.000
0.000 4.507 0.000
0.000 0.000 4.544
! - energy of formation from the pure elements (meV per atom) = 1220
! - SG = P4/mmm (123)